Computed, not measured: a geometry-optimized ScCrPb2O6 structure at the GGA+U level of DFT.

a b c (Å): 5.5752 5.7027 9.7524
angles (deg): 90.00 124.82 90.00
Space group P2_1/c (No. 14)
Asymmetric unit:
Sc (0.0000, 0.0000, 0.0000) (multiplicity 2)
Cr (0.5000, 0.0000, 0.5000) (multiplicity 2)
Pb (0.2605, 0.0423, 0.7499) (multiplicity 4)
O (0.1638, 0.0316, 0.2584) (multiplicity 4)
O (0.2605, 0.6975, 0.0493) (multiplicity 4)
O (0.3554, 0.2112, 0.0487) (multiplicity 4)

Properties
DFT total energy in eV/cell: -137.63
Volume in Å³/atom: 12.7
Magnetic moment in μB per atom: 0.164